First-principles (PBE-GGA) data for a relaxed BaZnAs4 crystal, as listed in the Alexandria database.

Results
Volume = 24.7 Å³ per atom
Density of states at the Fermi level = 0.556 states/eV/atom
E = -22.75 eV for the cell shown
Space group = F-43m, No. 216
Formation energy = -0.1589 eV per atom

Cell: 5.939 5.939 5.939 Å, 60.00 60.00 60.00°
Element x y z (fractional)
Ba1 0.000 0.000 0.000
Zn1 0.750 0.750 0.750
As1 0.388 0.388 0.388
As2 0.388 0.388 0.837
As3 0.388 0.837 0.388
As4 0.837 0.388 0.388